## HfFeN2O (PBE with a Hubbard U)

Data for crystalline HfFeN2O at its relaxed geometry.

Cell: 4.176 4.176 4.049 Å, 90.00 90.00 90.00°
Fractional coordinates of all 5 atoms:
Hf (0.000, 0.000, 0.000)
Fe (0.500, 0.500, 0.500)
N (0.000, 0.500, 0.000)
N (0.500, 0.000, 0.000)
O (0.000, 0.000, 0.500)

Results
The value obtained for the electronic total energy is -7.64 eV/atom.